[1]
DFT (PBE) results for a geometry-optimized DyPu2Al structure.

Results
Its offset from the most stable computed form is 141 meV per atom. The total energy is -9.1925 eV per atom.

Geometry as CIF:
```
data_DyPu2Al
_chemical_formula_sum 'Dy1 Pu2 Al1'
_cell_length_a 3.9628
_cell_length_b 3.9628
_cell_length_c 6.4917
_cell_angle_alpha 90.00
_cell_angle_beta 90.00
_cell_angle_gamma 90.00
_space_group_name_H-M_alt 'P 4/m m m'
_space_group_IT_number 123
_space_group_name_Hall '-P 4 2'
loop_
_atom_site_label
_atom_site_fract_x
_atom_site_fract_y
_atom_site_fract_z
Dy1 0.0000 0.0000 0.0000
Pu1 0.5000 0.5000 0.2771
Al1 0.0000 0.0000 0.5000
```

=====

[2]
DFT (PBE) results for a geometry-optimized Dy2PuAl structure.

Results
Its offset from the most stable computed form is 121 meV per atom. The total energy is -6.8083 eV per atom.

Geometry as CIF:
```
data_Dy2PuAl
_chemical_formula_sum 'Dy8 Pu4 Al4'
_cell_length_a 7.4748
_cell_length_b 7.4748
_cell_length_c 7.4748
_cell_angle_alpha 90.00
_cell_angle_beta 90.00
_cell_angle_gamma 90.00
_space_group_name_H-M_alt 'F m -3 m'
_space_group_IT_number 225
_space_group_name_Hall '-F 4 2 3'
loop_
_atom_site_label
_atom_site_fract_x
_atom_site_fract_y
_atom_site_fract_z
Dy1 0.2500 0.2500 0.2500
Pu1 0.0000 0.0000 0.0000
Al1 0.0000 0.0000 0.5000
```

=====

[3]
DFT (PBE) results for a geometry-optimized DyPu2Al structure.

Results
Its offset from the most stable computed form is 214 meV per atom. The total energy is -9.1191 eV per atom.

Geometry as CIF:
```
data_DyPu2Al
_chemical_formula_sum 'Dy4 Pu8 Al4'
_cell_length_a 7.4042
_cell_length_b 7.4042
_cell_length_c 7.4042
_cell_angle_alpha 90.00
_cell_angle_beta 90.00
_cell_angle_gamma 90.00
_space_group_name_H-M_alt 'F m -3 m'
_space_group_IT_number 225
_space_group_name_Hall '-F 4 2 3'
loop_
_atom_site_label
_atom_site_fract_x
_atom_site_fract_y
_atom_site_fract_z
Dy1 0.0000 0.0000 0.0000
Pu1 0.2500 0.2500 0.2500
Al1 0.0000 0.0000 0.5000
```

=====

[4]
DFT (PBE) results for a geometry-optimized DyPuAl6 structure.

Results
Its offset from the most stable computed form is 198 meV per atom. The total energy is -5.2795 eV per atom.

Geometry as CIF:
```
data_DyPuAl6
_chemical_formula_sum 'Dy2 Pu2 Al12'
_cell_length_a 4.6827
_cell_length_b 6.1015
_cell_length_c 10.6030
_cell_angle_alpha 90.00
_cell_angle_beta 90.00
_cell_angle_gamma 90.00
_space_group_name_H-M_alt 'A m m 2'
_space_group_IT_number 38
_space_group_name_Hall 'A 2 -2'
loop_
_atom_site_label
_atom_site_fract_x
_atom_site_fract_y
_atom_site_fract_z
Dy1 0.0000 0.0000 0.0000
Pu1 0.5000 0.0000 0.6654
Al1 0.0000 0.0000 0.4889
Al2 0.0000 0.2357 0.2548
Al3 0.5000 0.0000 0.1806
Al4 0.5000 0.2285 0.4089
```

=====

[5]
DFT (PBE) results for a geometry-optimized DyPuAl6 structure.

Results
Its offset from the most stable computed form is 0 meV per atom. The total energy is -5.4779 eV per atom.

Geometry as CIF:
```
data_DyPuAl6
_chemical_formula_sum 'Dy1 Pu1 Al6'
_cell_length_a 4.4589
_cell_length_b 5.9814
_cell_length_c 5.9349
_cell_angle_alpha 90.00
_cell_angle_beta 90.00
_cell_angle_gamma 90.00
_space_group_name_H-M_alt 'P m m 2'
_space_group_IT_number 25
_space_group_name_Hall 'P 2 -2'
loop_
_atom_site_label
_atom_site_fract_x
_atom_site_fract_y
_atom_site_fract_z
Dy1 0.0000 0.0000 0.0000
Pu1 0.5000 0.5000 0.7712
Al1 0.0000 0.2488 0.5286
Al2 0.0000 0.5000 0.1219
Al3 0.5000 0.0000 0.6400
Al4 0.5000 0.2604 0.2502
```

=====

[6]
DFT (PBE) results for a geometry-optimized Dy3PuAl8 structure.

Results
Its offset from the most stable computed form is 9 meV per atom. The total energy is -5.2884 eV per atom.

Geometry as CIF:
```
data_Dy3PuAl8
_chemical_formula_sum 'Dy3 Pu1 Al8'
_cell_length_a 5.5617
_cell_length_b 5.5617
_cell_length_c 9.0637
_cell_angle_alpha 90.00
_cell_angle_beta 90.00
_cell_angle_gamma 120.00
_space_group_name_H-M_alt 'P 3 m 1'
_space_group_IT_number 156
_space_group_name_Hall 'P 3 -2"'
loop_
_atom_site_label
_atom_site_fract_x
_atom_site_fract_y
_atom_site_fract_z
Dy1 0.0000 0.0000 0.0000
Dy2 0.0000 0.0000 0.3711
Dy3 0.3333 0.6667 0.8580
Pu1 0.3333 0.6667 0.5029
Al1 0.0095 0.5048 0.1831
Al2 0.3240 0.1620 0.6845
Al3 0.6667 0.3333 0.4350
Al4 0.6667 0.3333 0.9364
```